A) Below is a relaxed Zn2MoRu crystal, with properties calculated at the PBE-GGA level.

Geometry as POSCAR:
```
Zn2MoRu
1.0
-2.384 -0.601 -1.066
0.007 -1.605 2.145
-3.542 6.028 4.521
Ru Zn Mo
1 2 1
Direct
0.500 0.500 0.750 Ru
0.000 0.000 0.992 Zn
0.000 0.000 0.508 Zn
0.500 0.500 0.250 Mo
```

Summary:
symmetry	No. 65
V	14.680	Å³ per atom
total moment	1.23	Bohr magnetons per cell

B) Below is a relaxed Zn2MoRu crystal, with properties calculated at the PBE-GGA level.

Geometry as POSCAR:
```
Zn2MoRu
1.0
4.161 0.000 0.000
0.000 3.744 0.000
0.000 0.000 3.744
Mo Zn Ru
1 2 1
Direct
0.500 0.500 0.000 Mo
0.000 0.000 0.000 Zn
0.000 0.500 0.500 Zn
0.500 0.000 0.500 Ru
```

Summary:
symmetry	No. 123
V	14.583	Å³ per atom
total moment	0.00	Bohr magnetons per cell

C) Below is a relaxed Zn2MoRu crystal, with properties calculated at the PBE-GGA level.

Geometry as POSCAR:
```
Zn2MoRu
1.0
-2.409 -0.162 -4.579
-1.826 -4.558 -1.639
-0.156 3.602 3.715
Ru Zn Mo
1 2 1
Direct
0.750 0.250 0.500 Ru
0.506 0.506 0.000 Zn
0.994 0.994 0.000 Zn
0.250 0.750 0.500 Mo
```

Summary:
symmetry	No. 71
V	14.699	Å³ per atom
total moment	0.00	Bohr magnetons per cell

What is the stability order? It is C), B), A), from most stable to least stable.

A) Below is a relaxed Zn2MoRu crystal, with properties calculated at the PBE-GGA level.

Geometry as POSCAR:
```
Zn2MoRu
1.0
-2.319 -0.609 1.414
2.176 -2.257 2.597
0.731 4.132 2.979
Mo Zn Ru
1 2 1
Direct
0.500 0.500 0.250 Mo
0.000 0.000 0.506 Zn
0.000 0.000 0.994 Zn
0.500 0.500 0.750 Ru
```

Summary:
symmetry	No. 47
V	14.578	Å³ per atom
total moment	0.00	Bohr magnetons per cell

B) Below is a relaxed Zn2MoRu crystal, with properties calculated at the PBE-GGA level.

Geometry as POSCAR:
```
Zn2MoRu
1.0
-2.496 1.645 -3.148
-1.983 0.405 1.784
0.930 4.744 1.742
Mo Zn Ru
1 2 1
Direct
0.500 0.250 0.250 Mo
0.000 0.546 0.505 Zn
0.000 0.954 0.995 Zn
0.500 0.750 0.750 Ru
```

Summary:
symmetry	No. 10
V	14.643	Å³ per atom
total moment	0.44	Bohr magnetons per cell

What is the stability order? It is B), A), from most stable to least stable.

A) Below is a relaxed Zn2MoRu crystal, with properties calculated at the PBE-GGA level.

Geometry as POSCAR:
```
Zn2MoRu
1.0
-1.328 -0.598 -2.668
-3.497 -1.524 2.083
-1.785 4.066 -0.022
Ru Mo Zn
1 1 2
Direct
0.000 0.500 0.500 Ru
0.500 0.000 0.500 Mo
0.500 0.500 0.000 Zn
0.000 0.000 0.000 Zn
```

Summary:
symmetry	No. 47
V	14.665	Å³ per atom
total moment	0.00	Bohr magnetons per cell

B) Below is a relaxed Zn2MoRu crystal, with properties calculated at the PBE-GGA level.

Geometry as POSCAR:
```
Zn2MoRu
1.0
-2.521 1.942 2.923
-1.902 3.763 -0.946
-4.275 0.168 -0.605
Mo Zn Ru
1 2 1
Direct
0.000 0.000 0.000 Mo
0.250 0.250 0.250 Zn
0.750 0.750 0.750 Zn
0.500 0.500 0.500 Ru
```

Summary:
symmetry	No. 225
V	14.264	Å³ per atom
total moment	0.39	Bohr magnetons per cell

C) Below is a relaxed Zn2MoRu crystal, with properties calculated at the PBE-GGA level.

Geometry as POSCAR:
```
Zn2MoRu
1.0
-0.615 4.619 -1.737
-4.751 1.401 -0.447
3.389 -1.590 3.274
Zn Ru Mo
2 1 1
Direct
0.243 0.743 0.500 Zn
0.004 0.004 0.000 Zn
0.749 0.249 0.500 Ru
0.504 0.504 0.000 Mo
```

Summary:
symmetry	No. 44
V	14.402	Å³ per atom
total moment	0.00	Bohr magnetons per cell

What is the stability order? It is C), A), B), from most stable to least stable.

A) Below is a relaxed Zn2MoRu crystal, with properties calculated at the PBE-GGA level.

Geometry as POSCAR:
```
Zn2MoRu
1.0
4.922 0.003 0.000
2.057 4.471 0.000
-3.489 -2.237 2.654
Ru Zn Mo
1 2 1
Direct
0.750 0.250 0.500 Ru
0.000 0.000 0.000 Zn
0.500 0.500 0.000 Zn
0.250 0.750 0.500 Mo
```

Summary:
symmetry	No. 139
V	14.596	Å³ per atom
total moment	0.00	Bohr magnetons per cell

B) Below is a relaxed Zn2MoRu crystal, with properties calculated at the PBE-GGA level.

Geometry as POSCAR:
```
Zn2MoRu
1.0
9.170 0.017 0.010
8.746 2.754 0.010
8.746 1.353 2.399
Mo Zn Ru
1 2 1
Direct
0.496 0.496 0.496 Mo
0.003 0.003 0.003 Zn
0.249 0.249 0.249 Zn
0.752 0.752 0.752 Ru
```

Summary:
symmetry	No. 160
V	15.000	Å³ per atom
total moment	0.00	Bohr magnetons per cell

C) Below is a relaxed Zn2MoRu crystal, with properties calculated at the PBE-GGA level.

Geometry as POSCAR:
```
Zn2MoRu
1.0
-1.109 2.759 0.363
-0.363 -0.531 2.926
6.071 2.286 1.168
Zn Ru Mo
2 1 1
Direct
0.500 0.500 0.242 Zn
0.000 0.000 0.996 Zn
0.500 0.500 0.742 Ru
0.000 0.000 0.519 Mo
```

Summary:
symmetry	No. 99
V	14.788	Å³ per atom
total moment	0.00	Bohr magnetons per cell

What is the stability order? It is C), B), A), from most stable to least stable.

A) Below is a relaxed Zn2MoRu2 crystal, with properties calculated at the PBE-GGA level.

Geometry as POSCAR:
```
Zn2MoRu2
1.0
-2.126 -1.973 0.211
-0.066 0.383 2.912
-6.113 6.639 0.470
Ru Zn Mo
2 2 1
Direct
0.500 0.405 0.190 Ru
0.500 0.595 0.810 Ru
0.000 0.812 0.377 Zn
0.000 0.188 0.623 Zn
0.000 0.000 0.000 Mo
```

Summary:
symmetry	No. 65
V	15.236	Å³ per atom
total moment	0.00	Bohr magnetons per cell

B) Below is a relaxed Zn2MoRu2 crystal, with properties calculated at the PBE-GGA level.

Geometry as POSCAR:
```
Zn2MoRu2
1.0
6.918 0.000 0.000
0.000 6.918 0.000
0.000 0.000 2.996
Ru Mo Zn
4 2 4
Direct
0.175 0.675 0.500 Ru
0.825 0.325 0.500 Ru
0.325 0.175 0.500 Ru
0.675 0.825 0.500 Ru
0.000 0.000 0.000 Mo
0.500 0.500 0.000 Mo
0.875 0.625 0.000 Zn
0.625 0.125 0.000 Zn
0.375 0.875 0.000 Zn
0.125 0.375 0.000 Zn
```

Summary:
symmetry	No. 127
V	14.339	Å³ per atom
total moment	0.00	Bohr magnetons per cell

What is the stability order? It is A), B), from most stable to least stable.

A) Below is a relaxed ZnMo3Ru crystal, with properties calculated at the PBE-GGA level.

Geometry as POSCAR:
```
ZnMo3Ru
1.0
-0.204 3.708 -2.861
1.634 -2.627 -3.522
-4.389 -1.151 -1.178
Mo Ru Zn
3 1 1
Direct
0.000 0.000 0.500 Mo
0.500 0.000 0.000 Mo
0.000 0.500 0.000 Mo
0.000 0.000 0.000 Ru
0.500 0.500 0.500 Zn
```

Summary:
symmetry	No. 221
V	20.599	Å³ per atom
total moment	0.00	Bohr magnetons per cell

B) Below is a relaxed ZnMo3Ru crystal, with properties calculated at the PBE-GGA level.

Geometry as POSCAR:
```
ZnMo3Ru
1.0
-0.334 -4.445 -0.491
4.082 -0.102 -1.855
1.828 -0.585 4.053
Mo Zn Ru
3 1 1
Direct
0.000 0.500 0.000 Mo
0.500 0.000 0.000 Mo
0.000 0.000 0.500 Mo
0.000 0.000 0.000 Zn
0.500 0.500 0.500 Ru
```

Summary:
symmetry	No. 221
V	18.039	Å³ per atom
total moment	0.00	Bohr magnetons per cell

What is the stability order? It is A), B), from most stable to least stable.

A) Below is a relaxed ZrMoRu2 crystal, with properties calculated at the PBE-GGA level.

Geometry as POSCAR:
```
ZrMoRu2
1.0
-4.563 0.397 0.231
-0.166 -2.726 1.414
0.384 1.984 4.173
Ru Mo Zr
2 1 1
Direct
0.500 0.094 0.354 Ru
0.000 0.121 0.902 Ru
0.500 0.677 0.856 Mo
0.000 0.608 0.389 Zr
```

Summary:
symmetry	No. 6
V	16.341	Å³ per atom
total moment	0.00	Bohr magnetons per cell

B) Below is a relaxed ZrMoRu2 crystal, with properties calculated at the PBE-GGA level.

Geometry as POSCAR:
```
ZrMoRu2
1.0
-5.476 2.215 7.603
-7.429 0.891 6.059
-5.709 -0.592 7.730
Ru Mo Zr
2 1 1
Direct
0.743 0.743 0.743 Ru
0.002 0.002 0.002 Ru
0.258 0.258 0.258 Mo
0.498 0.498 0.498 Zr
```

Summary:
symmetry	No. 160
V	16.338	Å³ per atom
total moment	0.00	Bohr magnetons per cell

C) Below is a relaxed ZrMoRu2 crystal, with properties calculated at the PBE-GGA level.

Geometry as POSCAR:
```
ZrMoRu2
1.0
-2.768 1.623 -0.351
-0.230 -1.050 -3.044
-3.234 -5.082 1.998
Mo Ru Zr
1 2 1
Direct
0.500 0.500 0.778 Mo
0.500 0.500 0.259 Ru
0.000 0.000 0.978 Ru
0.000 0.000 0.485 Zr
```

Summary:
symmetry	No. 99
V	16.531	Å³ per atom
total moment	0.00	Bohr magnetons per cell

What is the stability order? It is A), C), B), from most stable to least stable.

A) Below is a relaxed ZrMoRu2 crystal, with properties calculated at the PBE-GGA level.

Geometry as POSCAR:
```
ZrMoRu2
1.0
9.368 0.021 0.012
8.928 2.835 0.012
8.928 1.394 2.469
Ru Zr Mo
2 1 1
Direct
0.506 0.506 0.506 Ru
0.994 0.994 0.994 Ru
0.750 0.750 0.750 Zr
0.250 0.250 0.250 Mo
```

Summary:
symmetry	No. 166
V	16.205	Å³ per atom
total moment	0.00	Bohr magnetons per cell

B) Below is a relaxed ZrMoRu2 crystal, with properties calculated at the PBE-GGA level.

Geometry as POSCAR:
```
ZrMoRu2
1.0
0.000 3.194 3.194
3.194 0.000 3.194
3.194 3.194 0.000
Mo Ru Zr
1 2 1
Direct
0.500 0.500 0.500 Mo
0.750 0.750 0.750 Ru
0.250 0.250 0.250 Ru
0.000 0.000 0.000 Zr
```

Summary:
symmetry	No. 225
V	16.290	Å³ per atom
total moment	0.79	Bohr magnetons per cell

What is the stability order? It is B), A), from most stable to least stable.

A) Below is a relaxed ZrMoRu2 crystal, with properties calculated at the PBE-GGA level.

Geometry as POSCAR:
```
ZrMoRu2
1.0
5.157 0.027 0.000
2.232 4.649 0.000
-3.695 -2.338 2.735
Mo Ru Zr
1 2 1
Direct
0.750 0.250 0.500 Mo
0.000 0.000 0.000 Ru
0.250 0.750 0.500 Ru
0.500 0.500 0.000 Zr
```

Summary:
symmetry	No. 119
V	16.353	Å³ per atom
total moment	0.00	Bohr magnetons per cell

B) Below is a relaxed ZrMoRu2 crystal, with properties calculated at the PBE-GGA level.

Geometry as POSCAR:
```
ZrMoRu2
1.0
-1.607 -1.981 4.346
-3.428 -2.930 2.249
2.243 -4.153 -0.068
Zr Ru Mo
1 2 1
Direct
0.492 0.492 0.531 Zr
0.732 0.732 0.742 Ru
0.005 0.005 0.027 Ru
0.271 0.271 0.200 Mo
```

Summary:
symmetry	No. 8
V	16.394	Å³ per atom
total moment	0.00	Bohr magnetons per cell

C) Below is a relaxed ZrMoRu2 crystal, with properties calculated at the PBE-GGA level.

Geometry as POSCAR:
```
ZrMoRu2
1.0
-1.184 -2.794 -0.177
2.731 -1.042 -1.820
2.920 -1.572 5.280
Mo Zr Ru
1 1 2
Direct
0.500 0.500 0.750 Mo
0.500 0.500 0.250 Zr
0.000 0.000 0.986 Ru
0.000 0.000 0.514 Ru
```

Summary:
symmetry	No. 47
V	16.318	Å³ per atom
total moment	0.00	Bohr magnetons per cell

D) Below is a relaxed ZrMoRu2 crystal, with properties calculated at the PBE-GGA level.

Geometry as POSCAR:
```
ZrMoRu2
1.0
5.168 0.017 0.006
2.031 4.753 -0.006
-3.066 -3.190 2.671
Zr Ru Mo
1 2 1
Direct
0.750 0.250 0.500 Zr
0.016 0.016 0.000 Ru
0.484 0.484 0.000 Ru
0.250 0.750 0.500 Mo
```

Summary:
symmetry	No. 71
V	16.369	Å³ per atom
total moment	0.00	Bohr magnetons per cell

What is the stability order? It is C), B), D), A), from most stable to least stable.

A) Below is a relaxed ZrMo3Ru crystal, with properties calculated at the PBE-GGA level.

Geometry as POSCAR:
```
ZrMo3Ru
1.0
-3.958 2.055 -1.472
-2.516 -2.940 2.660
0.242 3.031 3.579
Ru Zr Mo
1 1 3
Direct
0.500 0.500 0.500 Ru
0.000 0.000 0.000 Zr
0.500 0.000 0.000 Mo
0.000 0.000 0.500 Mo
0.000 0.500 0.000 Mo
```

Summary:
symmetry	No. 221
V	20.708	Å³ per atom
total moment	0.86	Bohr magnetons per cell

B) Below is a relaxed ZrMo3Ru crystal, with properties calculated at the PBE-GGA level.

Geometry as POSCAR:
```
ZrMo3Ru
1.0
-0.960 3.778 2.606
-0.208 -2.695 3.831
4.585 0.669 0.719
Mo Ru Zr
3 1 1
Direct
0.500 0.000 0.000 Mo
0.000 0.000 0.500 Mo
0.000 0.500 0.000 Mo
0.000 0.000 0.000 Ru
0.500 0.500 0.500 Zr
```

Summary:
symmetry	No. 221
V	20.619	Å³ per atom
total moment	0.00	Bohr magnetons per cell

What is the stability order? It is B), A), from most stable to least stable.

A) Below is a relaxed SbTe2MoS crystal, with properties calculated at the PBE-GGA level.

Geometry as POSCAR:
```
SbTe2MoS
1.0
5.152 0.000 0.000
0.000 5.152 0.000
0.000 0.000 5.328
Te S Mo Sb
2 1 1 1
Direct
0.000 0.500 0.000 Te
0.500 0.000 0.000 Te
0.500 0.500 0.500 S
0.000 0.000 0.000 Mo
0.000 0.000 0.500 Sb
```

Summary:
symmetry	No. 123
V	28.287	Å³ per atom
total moment	0.00	Bohr magnetons per cell

B) Below is a relaxed SbTe2MoS crystal, with properties calculated at the PBE-GGA level.

Geometry as POSCAR:
```
SbTe2MoS
1.0
-3.517 3.438 -1.566
-3.680 -2.634 2.482
0.861 2.830 4.280
Te Sb S Mo
2 1 1 1
Direct
0.500 0.000 0.000 Te
0.000 0.500 0.000 Te
0.000 0.000 0.500 Sb
0.000 0.000 0.000 S
0.500 0.500 0.500 Mo
```

Summary:
symmetry	No. 123
V	27.727	Å³ per atom
total moment	3.08	Bohr magnetons per cell

What is the stability order? It is A), B), from most stable to least stable.

A) Below is a relaxed Sb2TeMoS crystal, with properties calculated at the PBE-GGA level.

Geometry as POSCAR:
```
Sb2TeMoS
1.0
-1.286 4.777 -1.457
-4.861 -1.543 -0.769
-1.136 1.170 4.837
Sb Te S Mo
2 1 1 1
Direct
0.500 0.000 0.000 Sb
0.000 0.500 0.000 Sb
0.000 0.000 0.500 Te
0.000 0.000 0.000 S
0.500 0.500 0.500 Mo
```

Summary:
symmetry	No. 123
V	27.158	Å³ per atom
total moment	2.83	Bohr magnetons per cell

B) Below is a relaxed Sb2TeMoS crystal, with properties calculated at the PBE-GGA level.

Geometry as POSCAR:
```
Sb2TeMoS
1.0
5.233 0.000 0.000
0.000 5.233 0.000
0.000 0.000 5.095
Mo S Sb Te
1 1 2 1
Direct
0.000 0.000 0.000 Mo
0.500 0.500 0.500 S
0.000 0.500 0.000 Sb
0.500 0.000 0.000 Sb
0.000 0.000 0.500 Te
```

Summary:
symmetry	No. 123
V	27.906	Å³ per atom
total moment	0.00	Bohr magnetons per cell

What is the stability order? It is B), A), from most stable to least stable.